No. 1
The following is a PBE calculation of a relaxed Dy2ErCd2In2 crystal, from Alexandria via LeMat-Bulk.

The calculation puts the total energy at -22.710 eV per cell. As for the energy of formation: -0.23 eV per atom. The density of states at the Fermi level is 4.1 states/eV per cell. Its symmetry is R-3m.

Cell: 9.3390 9.3390 9.3390 Å, 30.61 30.61 30.61°
With the nearest neighbours (Å) after each atom.
Fractional positions:
Dy 0.1277 0.1277 0.1277  4 In 3.19-3.52, 3 Cd 3.36, 1 Er 3.41, 3 Dy 3.53
Dy 0.8723 0.8723 0.8723  4 In 3.19-3.52, 3 Cd 3.36, 1 Er 3.41, 3 Dy 3.53
Er 0.0000 0.0000 0.0000  6 Cd 3.28, 2 Dy 3.41, 6 In 3.46
Cd 0.3941 0.3941 0.3941  3 In 2.87
Cd 0.6059 0.6059 0.6059  3 In 2.87
In 0.2594 0.2594 0.2594  3 Cd 2.87, 3 Dy 3.19
In 0.7406 0.7406 0.7406  3 Cd 2.87, 3 Dy 3.19

=====

No. 2
The following is a PBE calculation of a relaxed DyErCdIr crystal, from Alexandria via LeMat-Bulk.

The calculation puts the total energy at -84.853 eV per cell. As for the energy of formation: -0.57 eV per atom. The density of states at the Fermi level is 10.9 states/eV per cell. Its symmetry is F-43m.

Cell: 7.0890 7.0890 7.0890 Å, 90.00 90.00 90.00°
With the nearest neighbours (Å) after each atom.
Fractional positions:
Dy 0.0000 0.0000 0.0000  4 Ir 3.07, 4 Cd 3.07
Dy 0.0000 0.5000 0.5000  4 Ir 3.07, 4 Cd 3.07
Dy 0.5000 0.0000 0.5000  4 Ir 3.07, 4 Cd 3.07
Dy 0.5000 0.5000 0.0000  4 Ir 3.07, 4 Cd 3.07
Er 0.0000 0.0000 0.5000  4 Cd 3.07, 4 Ir 3.07
Er 0.0000 0.5000 0.0000  4 Cd 3.07, 4 Ir 3.07
Er 0.5000 0.0000 0.0000  4 Cd 3.07, 4 Ir 3.07
Er 0.5000 0.5000 0.5000  4 Cd 3.07, 4 Ir 3.07
Cd 0.2500 0.2500 0.2500  4 Dy 3.07, 4 Er 3.07
Cd 0.2500 0.7500 0.7500  4 Dy 3.07, 4 Er 3.07
Cd 0.7500 0.2500 0.7500  4 Dy 3.07, 4 Er 3.07
Cd 0.7500 0.7500 0.2500  4 Dy 3.07, 4 Er 3.07
Ir 0.2500 0.2500 0.7500  4 Er 3.07, 4 Dy 3.07
Ir 0.2500 0.7500 0.2500  4 Er 3.07, 4 Dy 3.07
Ir 0.7500 0.2500 0.2500  4 Er 3.07, 4 Dy 3.07
Ir 0.7500 0.7500 0.7500  4 Er 3.07, 4 Dy 3.07